No. 1
# AsWC2N PBEsol optimized geometry
# crystal system = tetragonal
data_AsWC2N
_chemical_formula_sum 'As1 W1 C2 N1'
_space_group_name_H-M_alt 'P 4/m m m'
_space_group_IT_number 123
_space_group_name_Hall '-P 4 2'
_cell_length_a 3.802
_cell_length_b 3.802
_cell_length_c 3.653
_cell_angle_alpha 90.00
_cell_angle_beta 90.00
_cell_angle_gamma 90.00
loop_
_atom_site_label
_atom_site_fract_x
_atom_site_fract_y
_atom_site_fract_z
_atom_site_occupancy
As1 0.000 0.000 0.000 1
W1 0.500 0.500 0.500 1
C1 0.000 0.500 0.000 1
N1 0.000 0.000 0.500 1

***

No. 2
# KZrSi2S PBEsol optimized geometry
# crystal system = tetragonal
data_KZrSi2S
_chemical_formula_sum 'K1 Zr1 Si2 S1'
_space_group_name_H-M_alt 'P 4/m m m'
_space_group_IT_number 123
_space_group_name_Hall '-P 4 2'
_cell_length_a 5.056
_cell_length_b 5.056
_cell_length_c 4.792
_cell_angle_alpha 90.00
_cell_angle_beta 90.00
_cell_angle_gamma 90.00
loop_
_atom_site_label
_atom_site_fract_x
_atom_site_fract_y
_atom_site_fract_z
_atom_site_occupancy
K1 0.000 0.000 0.000 1
Zr1 0.000 0.000 0.500 1
Si1 0.000 0.500 0.000 1
S1 0.500 0.500 0.500 1

***

No. 3
# SbAu2 PBEsol optimized geometry
# crystal system = tetragonal
data_SbAu2
_chemical_formula_sum 'Sb2 Au4'
_space_group_name_H-M_alt 'I 4/m m m'
_space_group_IT_number 139
_space_group_name_Hall '-I 4 2'
_cell_length_a 3.691
_cell_length_b 3.691
_cell_length_c 8.641
_cell_angle_alpha 90.00
_cell_angle_beta 90.00
_cell_angle_gamma 90.00
loop_
_atom_site_label
_atom_site_fract_x
_atom_site_fract_y
_atom_site_fract_z
_atom_site_occupancy
Sb1 0.000 0.000 0.000 1
Au1 0.000 0.000 0.332 1

***

Results for formation energy (no corrections): 2.2966, 2.1113, 0.0479 (in eV/atom, following the order of the records).
Results for density of states at the Fermi level: 0.613, 0.773, 0.398 (in states/eV/atom, following the order of the records).
Results for spin magnetization: 0.0, 0.2, 0.0 (in μB per cell, following the order of the records).